No. 1
Pm4SmCo2 | PBE | relaxed

```
Pm4SmCo2
1.0
2.380 -8.451 0.000
2.380 8.451 0.000
0.000 0.000 4.706
Pm Sm Co
4 1 2
direct
0.159 0.841 0.000
0.335 0.665 0.500
0.665 0.335 0.500
0.841 0.159 0.000
0.500 0.500 0.000
0.065 0.935 0.500
0.935 0.065 0.500
```

Computed properties:
spin magnetization	0.104	μB per atom
energy above the most stable polymorph in this dataset	153.1	meV per atom
theoretical density	7.4	g cm⁻³
crystal system	orthorhombic
space group	Cmmm, No. 65
DOS at the Fermi energy	8.5	states/eV/f.u.
formation energy	0.94	eV per formula unit

No. 2
Pm3Sm2Co2 | PBE | relaxed

```
Pm3Sm2Co2
1.0
6.121 -1.881 0.000
6.121 1.881 0.000
-3.958 0.000 8.152
Pm Sm Co
3 2 2
direct
0.000 0.000 0.000
0.116 0.116 0.424
0.884 0.884 0.576
0.326 0.326 0.194
0.674 0.674 0.806
0.319 0.319 0.755
0.681 0.681 0.245
```

Computed properties:
spin magnetization	0.000	μB per atom
theoretical density	7.6	g cm⁻³
crystal system	monoclinic
space group	C2/m, No. 12
DOS at the Fermi energy	8.1	states/eV/f.u.
formation energy	-0.55	eV per formula unit

No. 3
PmSm3Co8 | PBE | relaxed

```
PmSm3Co8
1.0
2.570 1.484 8.391
-2.570 1.484 8.391
0.000 -2.967 8.391
Pm Sm Co
1 3 8
direct
0.000 0.000 0.000
0.375 0.375 0.375
0.500 0.500 0.500
0.875 0.875 0.875
0.187 0.187 0.187
0.437 0.437 0.937
0.437 0.937 0.437
0.438 0.937 0.937
0.688 0.688 0.688
0.937 0.437 0.437
0.937 0.438 0.937
0.937 0.937 0.438
```

Computed properties:
spin magnetization	0.625	μB per atom
theoretical density	9.2	g cm⁻³
crystal system	trigonal
space group	R3m, No. 160
DOS at the Fermi energy	18.5	states/eV/f.u.
formation energy	-1.03	eV per formula unit

No. 4
PmSmCo10 | PBE | relaxed

```
PmSmCo10
1.0
3.942 0.000 0.000
0.000 4.983 0.000
0.000 0.000 8.640
Pm Sm Co
1 1 10
direct
0.000 0.000 0.000
0.000 0.500 0.500
0.000 0.000 0.334
0.000 0.000 0.666
0.000 0.500 0.168
0.000 0.500 0.832
0.500 0.000 0.500
0.500 0.250 0.251
0.500 0.250 0.749
0.500 0.500 0.000
0.500 0.750 0.251
0.500 0.750 0.749
```

Computed properties:
spin magnetization	1.178	μB per atom
theoretical density	8.7	g cm⁻³
crystal system	orthorhombic
space group	Pmmm, No. 47
DOS at the Fermi energy	19.6	states/eV/f.u.
formation energy	-0.71	eV per formula unit

No. 5
Pm2SmCo9 | PBE | relaxed

```
Pm2SmCo9
1.0
2.513 1.451 8.246
-2.513 1.451 8.246
0.000 -2.902 8.246
Pm Sm Co
2 1 9
direct
0.140 0.140 0.140
0.860 0.860 0.860
0.000 0.000 0.000
0.081 0.579 0.579
0.334 0.334 0.334
0.421 0.421 0.919
0.421 0.919 0.421
0.500 0.500 0.500
0.579 0.081 0.579
0.579 0.579 0.081
0.666 0.666 0.666
0.919 0.421 0.421
```

Computed properties:
spin magnetization	0.860	μB per atom
theoretical density	8.9	g cm⁻³
crystal system	trigonal
space group	R-3m, No. 166
DOS at the Fermi energy	17.6	states/eV/f.u.
formation energy	-0.96	eV per formula unit

No. 6
Pm2SmCo2 | PBE | relaxed

```
Pm2SmCo2
1.0
5.729 -1.898 0.000
5.729 1.898 0.000
-1.484 0.000 5.516
Pm Sm Co
2 1 2
direct
0.147 0.147 0.085
0.853 0.853 0.915
0.500 0.500 0.500
0.224 0.224 0.600
0.776 0.776 0.400
```

Computed properties:
spin magnetization	0.001	μB per atom
energy above the most stable polymorph in this dataset	74.4	meV per atom
theoretical density	7.7	g cm⁻³
crystal system	monoclinic
space group	C2/m, No. 12
DOS at the Fermi energy	5.6	states/eV/f.u.
formation energy	0.14	eV per formula unit

No. 7
Pm2SmCo | PBE | relaxed

```
Pm2SmCo
1.0
1.922 1.110 9.220
-1.922 1.110 9.220
0.000 -2.220 9.220
Pm Sm Co
2 1 1
direct
0.000 0.000 0.000
0.219 0.219 0.219
0.444 0.444 0.444
0.609 0.609 0.609
```

Computed properties:
spin magnetization	0.000	μB per atom
energy above the most stable polymorph in this dataset	132.3	meV per atom
theoretical density	7.0	g cm⁻³
crystal system	trigonal
space group	R3m, No. 160
DOS at the Fermi energy	5.1	states/eV/f.u.
formation energy	0.19	eV per formula unit

No. 8
Pm2SmCo | PBE | relaxed

```
Pm2SmCo
1.0
7.069 0.000 0.000
0.000 9.826 0.000
0.000 0.000 6.359
Pm Sm Co
8 4 4
direct
0.172 0.070 0.176
0.172 0.430 0.176
0.328 0.570 0.676
0.328 0.930 0.676
0.672 0.070 0.324
0.672 0.430 0.324
0.828 0.570 0.824
0.828 0.930 0.824
0.044 0.250 0.649
0.456 0.750 0.149
0.544 0.250 0.851
0.956 0.750 0.351
0.116 0.750 0.943
0.384 0.250 0.443
0.616 0.750 0.557
0.884 0.250 0.057
```

Computed properties:
spin magnetization	0.000	μB per atom
energy above the most stable polymorph in this dataset	0.0	meV per atom
theoretical density	7.5	g cm⁻³
crystal system	orthorhombic
space group	Pnma, No. 62
DOS at the Fermi energy	5.1	states/eV/f.u.
formation energy	-0.34	eV per formula unit